Entry 1:
Crystalline ErNbN at its relaxed geometry. Source: Alexandria, functional GGA-PBE.

Summary:
Energy relative to the elements, uncorrected: -0.2652 eV per atom

Cell: 3.604 3.604 8.024 Å, 90.00 90.00 90.00°
Last column: magnetic moment on the atom in μB.
Fractional coordinates of all 6 atoms:
Er (0.500, 0.000, 0.162)  0.25
Er (0.000, 0.500, 0.838)  0.25
Nb (0.500, 0.500, 0.500)  0.02
N (0.000, 0.500, 0.312)  0.00
N (0.500, 0.000, 0.688)  0.00
Nb (0.000, 0.000, 0.500)  0.02

Entry 2:
Crystalline Ac2EuIn at its relaxed geometry. Source: Alexandria, functional GGA-PBE.

Summary:
E_form: -186.2 meV per atom

Cell: 5.080 5.400 5.400 Å, 90.00 90.00 90.00°
Last column: magnetic moment on the atom in μB.
Fractional coordinates of all 4 atoms:
In (0.500, 0.000, 0.000)  0.02
Ac (0.000, 0.000, 0.500)  -0.09
Ac (0.000, 0.500, 0.000)  -0.09
Eu (0.500, 0.500, 0.500)  -6.94

Entry 3:
Crystalline BaTlSb2 at its relaxed geometry. Source: Alexandria, functional GGA-PBE.

Summary:
Energy relative to the elements, uncorrected: -0.2894 eV per atom

Cell: 5.733 5.733 5.733 Å, 60.00 60.00 60.00°
Fractional coordinates of all 4 atoms:
Sb (0.000, 0.000, 0.000)
Ba (0.500, 0.500, 0.500)
Sb (0.250, 0.250, 0.250)
Tl (0.750, 0.750, 0.750)

Values for density of states at the Fermi level, states/eV/atom, ordered as above
0.74, 1.36, 0.71